The following is a meta-GGA SCAN calculation of a crystal of Cr2WSe relaxed with PBEsol, from the Alexandria database.

The structure belongs to space group Immm (No. 71); the cell edges are 2.978, 4.219 and 8.366 Å and the angles 90.00°, 90.00° and 90.00°. The asymmetric unit holds Cr at (0.000, 0.000, 0.236), W at (0.000, 0.500, 0.000) and Se at (0.000, 0.500, 0.500).

Its raw total energy is -31.105 eV/atom. The calculation puts the uncorrected formation energy at 51.0 kJ per mole of atoms.